#w
Crystalline CdP at its relaxed geometry. Source: Alexandria via LeMat-Bulk, functional PBE-GGA.

POSCAR file:
```
CdP
1.0
-1.752 0.817 -3.706
-3.141 -2.378 -1.397
-3.876 1.553 -0.183
Cd P
1 1
Direct
0.000 0.000 0.000 Cd
0.750 0.750 0.750 P
```

Output
ρ: 4.61 g/cm3
Symmetry: F-43m
Magnetic moment: 0.00 μB/f.u.
Crystal system: cubic


#x
Crystalline CdP at its relaxed geometry. Source: Alexandria via LeMat-Bulk, functional PBE-GGA.

POSCAR file:
```
CdP
1.0
2.485 -4.303 0.000
2.485 4.303 0.000
0.000 0.000 8.136
Cd P
4 4
Direct
0.000 0.000 0.250 Cd
0.000 0.000 0.750 Cd
0.333 0.667 0.750 Cd
0.667 0.333 0.250 Cd
0.333 0.667 0.113 P
0.667 0.333 0.613 P
0.667 0.333 0.887 P
0.333 0.667 0.387 P
```

Output
ρ: 5.47 g/cm3
Symmetry: P6_3/mmc
Magnetic moment: 0.00 μB/f.u.
Crystal system: hexagonal


The most stable structure shown above is #w; the least stable is #x.